First-principles (PBE-GGA) data for crystalline SmGdAlRu at its relaxed geometry, as listed in Alexandria.

a b c (Å): 5.031 5.031 5.031
angles (deg): 60.00 60.00 60.00
Last column: magnetic moment on the atom in μB.
Element x y z (fractional)
Ru: 0.000 0.000 0.000  -0.13
Gd: 0.750 0.750 0.750  7.01
Al: 0.500 0.500 0.500  -0.01
Sm: 0.250 0.250 0.250  0.00

Output
**DFT total energy**: -32.92 eV per cell
**Formation enthalpy at 0 K**: -274 meV per atom